Entry 1:
A relaxed structure of Ho2Tm3ScS6, computed with PBE.

a = 8.5607 Å, b = 8.5607 Å, c = 7.6913 Å
α = 103.07°, β = 103.07°, γ = 25.85°
With the nearest neighbours (Å) after each atom.
Positions (direct):
Ho 0.1661 0.1661 0.3322  6 S 2.72-2.73
Ho 0.8339 0.8339 0.6678  6 S 2.72-2.73
Tm 0.1681 0.1681 0.8343  6 S 2.70-2.74
Tm 0.5000 0.5000 0.5000  6 S 2.69-2.75
Tm 0.8319 0.8319 0.1657  6 S 2.70-2.74
Sc 0.5000 0.5000 0.0000  6 S 2.65-2.68
S 0.0018 0.0018 0.7570  2 Sc 2.68, 3 Tm 2.70-2.75, 1 Ho 2.72
S 0.3343 0.3343 0.4146  3 Tm 2.69-2.70, 3 Ho 2.73
S 0.3366 0.3366 0.9213  1 Sc 2.65, 3 Tm 2.70-2.74, 2 Ho 2.73
S 0.6634 0.6634 0.0787  1 Sc 2.65, 3 Tm 2.70-2.74, 2 Ho 2.73
S 0.6657 0.6657 0.5854  3 Tm 2.69-2.70, 3 Ho 2.73
S 0.9982 0.9982 0.2430  2 Sc 2.68, 3 Tm 2.70-2.75, 1 Ho 2.72

Computed properties:
Space group ... C2/m
Uncorrected formation energy ... -1929 meV/atom
Crystal system ... monoclinic
Magnetization ... 0.000 μB/atom

Entry 2:
A relaxed structure of LaZnRh2Pb, computed with PBE.

a = 5.0849 Å, b = 5.0849 Å, c = 4.9063 Å
α = 90.00°, β = 90.00°, γ = 90.00°
With the nearest neighbours (Å) after each atom.
Positions (direct):
La 0.0000 0.0000 0.0000  8 Rh 3.53, 4 Zn 3.60
Zn 0.5000 0.5000 0.0000  2 Pb 2.45
Rh 0.0000 0.5000 0.5000  2 Pb 2.54
Rh 0.5000 0.0000 0.5000  2 Pb 2.54
Pb 0.5000 0.5000 0.5000  2 Zn 2.45, 4 Rh 2.54

Computed properties:
Space group ... P4/mmm
Crystal system ... tetragonal
Magnetization ... 0.131 μB/atom
Total energy ... -4.56 eV per atom

Entry 3:
A relaxed structure of NaTbDy, computed with PBE.

a = 3.5276 Å, b = 6.7232 Å, c = 8.9598 Å
α = 76.50°, β = 89.97°, γ = 74.86°
With the nearest neighbours (Å) after each atom.
Positions (direct):
Na 0.1379 0.2266 0.0201  5 Na 3.48-3.53, 4 Dy 3.76-3.80, 3 Tb 3.77-3.80
Na 0.8621 0.7734 0.9799  5 Na 3.48-3.53, 4 Dy 3.76-3.80, 3 Tb 3.77-3.80
Tb 0.1948 0.1089 0.6281  4 Tb 3.45-3.53, 5 Dy 3.48-3.53, 3 Na 3.77-3.80
Tb 0.8052 0.8911 0.3719  4 Tb 3.45-3.53, 5 Dy 3.48-3.53, 3 Na 3.77-3.80
Dy 0.4707 0.5604 0.6738  3 Dy 3.39-3.53, 5 Tb 3.48-3.53, 4 Na 3.76-3.80
Dy 0.5293 0.4396 0.3262  3 Dy 3.39-3.53, 5 Tb 3.48-3.53, 4 Na 3.76-3.80

Computed properties:
Energy relative to the lowest polymorph listed for this composition ... 0.0193 eV per atom
Space group ... P-1
Crystal system ... triclinic
Magnetization ... 0.001 μB/atom

Entry 4:
A relaxed structure of CaPd4Pb, computed with PBE.

a = 8.0469 Å, b = 4.1397 Å, c = 7.1635 Å
α = 90.00°, β = 90.00°, γ = 90.00°
With the nearest neighbours (Å) after each atom.
Positions (direct):
Ca 0.2500 0.0000 0.1820  8 Pd 2.91-3.04, 1 Pb 3.07
Ca 0.7500 0.0000 0.8180  8 Pd 2.91-3.04, 1 Pb 3.07
Pd 0.0000 0.0000 0.5000  2 Pb 2.71, 8 Pd 2.90-2.98
Pd 0.0238 0.5000 0.7975  2 Pb 2.77, 5 Pd 2.91-2.98, 2 Ca 3.03
Pd 0.2500 0.5000 0.4684  8 Pd 2.90-2.98, 2 Pb 2.91, 2 Ca 2.91
Pd 0.4762 0.5000 0.7975  2 Pb 2.77, 5 Pd 2.91-2.98, 2 Ca 3.03
Pd 0.5000 0.0000 0.5000  2 Pb 2.71, 8 Pd 2.90-2.98
Pd 0.5238 0.5000 0.2025  2 Pb 2.77, 5 Pd 2.91-2.98, 2 Ca 3.03
Pd 0.7500 0.5000 0.5316  8 Pd 2.90-2.98, 2 Pb 2.91, 2 Ca 2.91
Pd 0.9762 0.5000 0.2025  2 Pb 2.77, 5 Pd 2.91-2.98, 2 Ca 3.03
Pb 0.2500 0.0000 0.7530  8 Pd 2.71-2.91
Pb 0.7500 0.0000 0.2470  8 Pd 2.71-2.91

Computed properties:
Energy relative to the lowest polymorph listed for this composition ... 0.1204 eV per atom
Space group ... Pmma
Crystal system ... orthorhombic
Magnetization ... 0.000 μB/atom

Entry 5:
A relaxed structure of ZnMoPt, computed with PBE.

a = 4.3903 Å, b = 4.3903 Å, c = 2.7006 Å
α = 90.00°, β = 90.00°, γ = 120.00°
With the nearest neighbours (Å) after each atom.
Positions (direct):
Zn 0.0000 0.0000 0.0000  3 Pt 2.53, 2 Zn 2.70
Mo 0.6667 0.3333 0.5000  2 Mo 2.70, 6 Zn 2.87, 6 Pt 2.87
Pt 0.3333 0.6667 0.0000  3 Zn 2.53, 2 Pt 2.70

Computed properties:
Space group ... P-6m2
Crystal system ... hexagonal
Magnetization ... 0.000 μB/atom
Total energy ... -6.21 eV per atom

Entry 6:
A relaxed structure of Te3Rh, computed with PBE.

a = 3.9280 Å, b = 3.9280 Å, c = 22.9545 Å
α = 90.00°, β = 90.00°, γ = 120.00°
With the nearest neighbours (Å) after each atom.
Positions (direct):
Te 0.0000 0.0000 0.0000  6 Te 3.29
Te 0.0000 0.0000 0.2297  3 Rh 2.69
Te 0.0000 0.0000 0.7703  3 Rh 2.69
Te 0.3333 0.6667 0.4369  3 Rh 2.69
Te 0.3333 0.6667 0.6667  6 Te 3.29
Te 0.3333 0.6667 0.8964  3 Rh 2.69
Te 0.6667 0.3333 0.1036  3 Rh 2.69
Te 0.6667 0.3333 0.3333  6 Te 3.29
Te 0.6667 0.3333 0.5631  3 Rh 2.69
Rh 0.0000 0.0000 0.5000  6 Te 2.69
Rh 0.3333 0.6667 0.1667  6 Te 2.69
Rh 0.6667 0.3333 0.8333  6 Te 2.69

Computed properties:
Space group ... R-3m
Uncorrected formation energy ... -135 meV/atom
Crystal system ... trigonal
Magnetization ... 0.000 μB/atom

Entry 7:
A relaxed structure of MnZnRh2C, computed with PBE.

a = 4.0714 Å, b = 4.0714 Å, c = 3.8759 Å
α = 90.00°, β = 90.00°, γ = 90.00°
With the nearest neighbours (Å) after each atom.
Positions (direct):
Mn 0.0000 0.0000 0.0000  2 C 1.94
Zn 0.5000 0.5000 0.0000  8 Rh 2.81, 4 Mn 2.88
Rh 0.0000 0.5000 0.5000  2 C 2.04
Rh 0.5000 0.0000 0.5000  2 C 2.04
C 0.0000 0.0000 0.5000  2 Mn 1.94, 4 Rh 2.04

Computed properties:
Space group ... P4/mmm
Crystal system ... tetragonal
Magnetization ... 0.619 μB/atom
Total energy ... -6.96 eV per atom

Entry 8:
A relaxed structure of Nd6P2S3Cl, computed with PBE.

a = 9.1861 Å, b = 9.1861 Å, c = 8.2500 Å
α = 102.53°, β = 102.53°, γ = 25.88°
With the nearest neighbours (Å) after each atom.
Positions (direct):
Nd 0.0028 0.0028 0.2741  3 S 2.78-2.90, 1 P 2.84, 2 Cl 3.05
Nd 0.3239 0.3239 0.9052  3 S 2.82-2.94, 2 P 2.87, 1 Cl 3.07
Nd 0.3312 0.3312 0.4199  3 P 2.90, 3 S 2.95-2.96
Nd 0.6688 0.6688 0.5801  3 P 2.90, 3 S 2.95-2.96
Nd 0.6761 0.6761 0.0948  3 S 2.82-2.94, 2 P 2.87, 1 Cl 3.07
Nd 0.9972 0.9972 0.7259  3 S 2.78-2.90, 1 P 2.84, 2 Cl 3.05
P 0.1654 0.1654 0.3305  6 Nd 2.84-2.90
P 0.8346 0.8346 0.6695  6 Nd 2.84-2.90
S 0.1625 0.1625 0.8351  6 Nd 2.82-2.96
S 0.5000 0.5000 0.5000  6 Nd 2.78-2.95
S 0.8375 0.8375 0.1649  6 Nd 2.82-2.96
Cl 0.5000 0.5000 0.0000  6 Nd 3.05-3.07

Computed properties:
Space group ... C2/m
Uncorrected formation energy ... -1816 meV/atom
Crystal system ... monoclinic
Magnetization ... 0.000 μB/atom

Entry 9:
A relaxed structure of BaCd4Bi3, computed with PBE.

a = 4.7820 Å, b = 4.7820 Å, c = 11.4150 Å
α = 90.00°, β = 90.00°, γ = 90.00°
With the nearest neighbours (Å) after each atom.
Positions (direct):
Ba 0.0000 0.0000 0.0000  8 Bi 3.79
Cd 0.0000 0.5000 0.3226  4 Bi 3.10-3.13, 4 Cd 3.38
Cd 0.0000 0.5000 0.6774  4 Bi 3.10-3.13, 4 Cd 3.38
Cd 0.5000 0.0000 0.3226  4 Bi 3.10-3.13, 4 Cd 3.38
Cd 0.5000 0.0000 0.6774  4 Bi 3.10-3.13, 4 Cd 3.38
Bi 0.0000 0.0000 0.5000  8 Cd 3.13
Bi 0.5000 0.5000 0.1497  4 Cd 3.10, 1 Bi 3.42
Bi 0.5000 0.5000 0.8503  4 Cd 3.10, 1 Bi 3.42

Computed properties:
Space group ... P4/mmm
Crystal system ... tetragonal
Magnetization ... 0.000 μB/atom
Total energy ... -2.34 eV per atom

Entry 10:
A relaxed structure of BeTe2, computed with PBE.

a = 5.7177 Å, b = 15.6951 Å, c = 3.7138 Å
α = 90.00°, β = 90.00°, γ = 90.00°
With the nearest neighbours (Å) after each atom.
Positions (direct):
Be 0.0000 0.1198 0.0000  4 Te 2.52-2.64
Be 0.0000 0.8802 0.0000  4 Te 2.52-2.64
Be 0.5000 0.3802 0.0000  4 Te 2.52-2.64
Be 0.5000 0.6198 0.0000  4 Te 2.52-2.64
Te 0.0000 0.0000 0.5000  4 Be 2.64
Te 0.0000 0.2284 0.5000  2 Be 2.52
Te 0.0000 0.5000 0.0000  6 Te 3.41-3.71, 4 Be 3.42
Te 0.0000 0.7716 0.5000  2 Be 2.52
Te 0.5000 0.0000 0.0000  6 Te 3.41-3.71, 4 Be 3.42
Te 0.5000 0.2716 0.5000  2 Be 2.52
Te 0.5000 0.5000 0.5000  4 Be 2.64
Te 0.5000 0.7284 0.5000  2 Be 2.52

Computed properties:
Energy relative to the lowest polymorph listed for this composition ... 0.4565 eV per atom
Space group ... Cmmm
Uncorrected formation energy ... 312 meV/atom
Crystal system ... orthorhombic
Magnetization ... 0.000 μB/atom

Entry 11:
A relaxed structure of Pr2MgOs, computed with PBE.

a = 3.4923 Å, b = 3.4923 Å, c = 9.0030 Å
α = 90.00°, β = 90.00°, γ = 90.00°
With the nearest neighbours (Å) after each atom.
Positions (direct):
Pr 0.0000 0.0000 0.1953  4 Os 3.03
Pr 0.0000 0.0000 0.8047  4 Os 3.03
Mg 0.5000 0.5000 0.5000  4 Mg 3.49, 8 Pr 3.69
Os 0.5000 0.5000 0.0000  8 Pr 3.03

Computed properties:
Energy relative to the lowest polymorph listed for this composition ... 0.0000 eV per atom
Space group ... P4/mmm
Crystal system ... tetragonal
Magnetization ... 0.000 μB/atom

Entry 12:
A relaxed structure of InTe3Au, computed with PBE.

a = 5.5212 Å, b = 5.5212 Å, c = 5.5212 Å
α = 90.00°, β = 90.00°, γ = 90.00°
With the nearest neighbours (Å) after each atom.
Positions (direct):
In 0.0000 0.0000 0.0000  12 Te 3.90
Te 0.0000 0.5000 0.5000  2 Au 2.76
Te 0.5000 0.0000 0.5000  2 Au 2.76
Te 0.5000 0.5000 0.0000  2 Au 2.76
Au 0.5000 0.5000 0.5000  6 Te 2.76

Computed properties:
Energy relative to the lowest polymorph listed for this composition ... 0.3321 eV per atom
Space group ... Pm-3m
Uncorrected formation energy ... 273 meV/atom
Crystal system ... cubic
Magnetization ... 0.000 μB/atom

Entry 13:
A relaxed structure of DyHoGaNi, computed with PBE.

a = 6.9601 Å, b = 6.9601 Å, c = 6.9601 Å
α = 90.00°, β = 90.00°, γ = 90.00°
With the nearest neighbours (Å) after each atom.
Positions (direct):
Dy 0.0000 0.0000 0.0000  4 Ni 3.01, 4 Ga 3.01
Dy 0.0000 0.5000 0.5000  4 Ni 3.01, 4 Ga 3.01
Dy 0.5000 0.0000 0.5000  4 Ni 3.01, 4 Ga 3.01
Dy 0.5000 0.5000 0.0000  4 Ni 3.01, 4 Ga 3.01
Ho 0.0000 0.0000 0.5000  4 Ni 3.01, 4 Ga 3.01
Ho 0.0000 0.5000 0.0000  4 Ni 3.01, 4 Ga 3.01
Ho 0.5000 0.0000 0.0000  4 Ni 3.01, 4 Ga 3.01
Ho 0.5000 0.5000 0.5000  4 Ni 3.01, 4 Ga 3.01
Ga 0.2500 0.2500 0.7500  4 Dy 3.01, 4 Ho 3.01
Ga 0.2500 0.7500 0.2500  4 Dy 3.01, 4 Ho 3.01
Ga 0.7500 0.2500 0.2500  4 Dy 3.01, 4 Ho 3.01
Ga 0.7500 0.7500 0.7500  4 Ho 3.01, 4 Dy 3.01
Ni 0.2500 0.2500 0.2500  4 Dy 3.01, 4 Ho 3.01
Ni 0.2500 0.7500 0.7500  4 Dy 3.01, 4 Ho 3.01
Ni 0.7500 0.2500 0.7500  4 Dy 3.01, 4 Ho 3.01
Ni 0.7500 0.7500 0.2500  4 Dy 3.01, 4 Ho 3.01

Computed properties:
Energy relative to the lowest polymorph listed for this composition ... 0.0471 eV per atom
Space group ... F-43m
Crystal system ... cubic
Magnetization ... 0.000 μB/atom